Mn5Br5O2: relaxed, PBE with a Hubbard U.

## Properties
- Energy: -5.616 eV/atom
- Space-group type: C2/m, No. 12

abc: 7.227 7.227 10.583
angles: 91.58 91.58 29.68
Fractional positions:
1 Mn 0.000 0.000 0.000
2 Mn 0.113 0.113 0.696
3 Mn 0.426 0.426 0.752
4 Mn 0.574 0.574 0.248
5 Mn 0.887 0.887 0.304
6 Br 0.245 0.245 0.328
7 Br 0.360 0.360 0.993
8 Br 0.500 0.500 0.500
9 Br 0.640 0.640 0.007
10 Br 0.755 0.755 0.672
11 O 0.009 0.009 0.208
12 O 0.991 0.991 0.792